The following is a PBEsol calculation of crystalline Li4CaPb at its relaxed geometry, from the Alexandria database.

```
data_Li4CaPb
_chemical_formula_sum 'Li4 Ca1 Pb1'
_space_group_name_H-M_alt 'P 1'
_space_group_IT_number 1
_cell_length_a 5.596
_cell_length_b 5.596
_cell_length_c 5.596
_cell_angle_alpha 60.00
_cell_angle_beta 60.00
_cell_angle_gamma 60.00
loop_
_space_group_symop_operation_xyz
'x,y,z'
loop_
_atom_site_label
_atom_site_type_symbol
_atom_site_fract_x
_atom_site_fract_y
_atom_site_fract_z
_atom_site_occupancy
Li1 Li 0.874 0.375 0.375 1
Li2 Li 0.375 0.375 0.874 1
Li3 Li 0.375 0.375 0.375 1
Li4 Li 0.375 0.874 0.375 1
Pb1 Pb 0.750 0.750 0.750 1
Ca1 Ca 0.000 0.000 0.000 1
```

The energy is -2.553 eV/atom.

=====

The following is a PBEsol calculation of crystalline LiCa2Pb at its relaxed geometry, from the Alexandria database.

```
data_LiCa2Pb
_chemical_formula_sum 'Li1 Ca2 Pb1'
_space_group_name_H-M_alt 'P 1'
_space_group_IT_number 1
_cell_length_a 3.949
_cell_length_b 4.946
_cell_length_c 6.343
_cell_angle_alpha 90.00
_cell_angle_beta 108.13
_cell_angle_gamma 90.00
loop_
_space_group_symop_operation_xyz
'x,y,z'
loop_
_atom_site_label
_atom_site_type_symbol
_atom_site_fract_x
_atom_site_fract_y
_atom_site_fract_z
_atom_site_occupancy
Li1 Li 0.814 0.000 0.628 1
Ca1 Ca 0.407 0.500 0.815 1
Ca2 Ca 0.104 0.000 0.208 1
Pb1 Pb 0.684 0.500 0.368 1
```

The energy is -2.916 eV/atom.

=====

The following is a PBEsol calculation of crystalline LiCaPb2 at its relaxed geometry, from the Alexandria database.

```
data_LiCaPb2
_chemical_formula_sum 'Li1 Ca1 Pb2'
_space_group_name_H-M_alt 'P 1'
_space_group_IT_number 1
_cell_length_a 4.641
_cell_length_b 4.641
_cell_length_c 5.925
_cell_angle_alpha 113.06
_cell_angle_beta 113.06
_cell_angle_gamma 90.00
loop_
_space_group_symop_operation_xyz
'x,y,z'
loop_
_atom_site_label
_atom_site_type_symbol
_atom_site_fract_x
_atom_site_fract_y
_atom_site_fract_z
_atom_site_occupancy
Li1 Li 0.250 0.750 0.500 1
Pb1 Pb 0.000 0.000 0.000 1
Pb2 Pb 0.750 0.250 0.500 1
Ca1 Ca 0.500 0.500 0.000 1
```

The energy is -3.378 eV/atom.

=====

The following is a PBEsol calculation of crystalline LiCaPb2 at its relaxed geometry, from the Alexandria database.

```
data_LiCaPb2
_chemical_formula_sum 'Li1 Ca1 Pb2'
_space_group_name_H-M_alt 'P 1'
_space_group_IT_number 1
_cell_length_a 4.555
_cell_length_b 4.745
_cell_length_c 4.746
_cell_angle_alpha 90.00
_cell_angle_beta 90.00
_cell_angle_gamma 90.00
loop_
_space_group_symop_operation_xyz
'x,y,z'
loop_
_atom_site_label
_atom_site_type_symbol
_atom_site_fract_x
_atom_site_fract_y
_atom_site_fract_z
_atom_site_occupancy
Li1 Li 0.500 0.500 0.125 1
Pb1 Pb 0.000 0.000 0.125 1
Pb2 Pb 0.000 0.500 0.624 1
Ca1 Ca 0.500 0.000 0.625 1
```

The energy is -3.445 eV/atom.

=====

The following is a PBEsol calculation of crystalline LiCaPb2 at its relaxed geometry, from the Alexandria database.

```
data_LiCaPb2
_chemical_formula_sum 'Li1 Ca1 Pb2'
_space_group_name_H-M_alt 'P 1'
_space_group_IT_number 1
_cell_length_a 4.854
_cell_length_b 5.585
_cell_length_c 4.854
_cell_angle_alpha 115.76
_cell_angle_beta 90.00
_cell_angle_gamma 115.76
loop_
_space_group_symop_operation_xyz
'x,y,z'
loop_
_atom_site_label
_atom_site_type_symbol
_atom_site_fract_x
_atom_site_fract_y
_atom_site_fract_z
_atom_site_occupancy
Li1 Li 0.500 0.000 0.500 1
Ca1 Ca 0.000 0.000 0.000 1
Pb1 Pb 0.750 0.500 0.250 1
Pb2 Pb 0.250 0.500 0.750 1
```

The energy is -3.421 eV/atom.

=====

The following is a PBEsol calculation of crystalline LiCa2Pb at its relaxed geometry, from the Alexandria database.

```
data_LiCa2Pb
_chemical_formula_sum 'Li1 Ca2 Pb1'
_space_group_name_H-M_alt 'P 1'
_space_group_IT_number 1
_cell_length_a 3.992
_cell_length_b 5.322
_cell_length_c 5.322
_cell_angle_alpha 90.00
_cell_angle_beta 90.00
_cell_angle_gamma 90.00
loop_
_space_group_symop_operation_xyz
'x,y,z'
loop_
_atom_site_label
_atom_site_type_symbol
_atom_site_fract_x
_atom_site_fract_y
_atom_site_fract_z
_atom_site_occupancy
Li1 Li 0.500 0.500 0.500 1
Ca1 Ca 0.000 0.000 0.500 1
Ca2 Ca 0.000 0.500 0.000 1
Pb1 Pb 0.500 0.000 0.000 1
```

The energy is -2.946 eV/atom.

=====

The following is a PBEsol calculation of crystalline LiCaPb2 at its relaxed geometry, from the Alexandria database.

```
data_LiCaPb2
_chemical_formula_sum 'Li1 Ca1 Pb2'
_space_group_name_H-M_alt 'P 1'
_space_group_IT_number 1
_cell_length_a 3.705
_cell_length_b 3.708
_cell_length_c 7.418
_cell_angle_alpha 90.00
_cell_angle_beta 90.00
_cell_angle_gamma 90.00
loop_
_space_group_symop_operation_xyz
'x,y,z'
loop_
_atom_site_label
_atom_site_type_symbol
_atom_site_fract_x
_atom_site_fract_y
_atom_site_fract_z
_atom_site_occupancy
Ca1 Ca 0.500 0.500 0.000 1
Pb1 Pb 0.000 0.000 0.718 1
Pb2 Pb 0.000 0.000 0.282 1
Li1 Li 0.500 0.500 0.500 1
```

The energy is -3.443 eV/atom.

=====

The following is a PBEsol calculation of crystalline Li2Ca2Pb at its relaxed geometry, from the Alexandria database.

```
data_Li2Ca2Pb
_chemical_formula_sum 'Li4 Ca4 Pb2'
_space_group_name_H-M_alt 'P 1'
_space_group_IT_number 1
_cell_length_a 4.911
_cell_length_b 7.268
_cell_length_c 7.268
_cell_angle_alpha 90.00
_cell_angle_beta 90.00
_cell_angle_gamma 90.00
loop_
_space_group_symop_operation_xyz
'x,y,z'
loop_
_atom_site_label
_atom_site_type_symbol
_atom_site_fract_x
_atom_site_fract_y
_atom_site_fract_z
_atom_site_occupancy
Ca1 Ca 0.500 0.697 0.803 1
Ca2 Ca 0.500 0.197 0.697 1
Ca3 Ca 0.500 0.803 0.303 1
Ca4 Ca 0.500 0.303 0.197 1
Li1 Li 0.000 0.372 0.872 1
Li2 Li 0.000 0.128 0.372 1
Li3 Li 0.000 0.872 0.628 1
Li4 Li 0.000 0.628 0.128 1
Pb1 Pb 0.000 0.000 0.000 1
Pb2 Pb 0.000 0.500 0.500 1
```

The energy is -2.704 eV/atom.

=====

The following is a PBEsol calculation of crystalline LiCaSi2Pb at its relaxed geometry, from the Alexandria database.

```
data_LiCaSi2Pb
_chemical_formula_sum 'Li1 Ca1 Si2 Pb1'
_space_group_name_H-M_alt 'P 1'
_space_group_IT_number 1
_cell_length_a 4.659
_cell_length_b 4.659
_cell_length_c 4.896
_cell_angle_alpha 90.00
_cell_angle_beta 90.00
_cell_angle_gamma 90.00
loop_
_space_group_symop_operation_xyz
'x,y,z'
loop_
_atom_site_label
_atom_site_type_symbol
_atom_site_fract_x
_atom_site_fract_y
_atom_site_fract_z
_atom_site_occupancy
Ca1 Ca 0.500 0.500 0.500 1
Si1 Si 0.000 0.500 0.000 1
Si2 Si 0.500 0.000 0.000 1
Pb1 Pb 0.000 0.000 0.500 1
Li1 Li 0.000 0.000 0.000 1
```

The energy is -3.730 eV/atom. As for the energy relative to the elements, uncorrected: 0.189 eV/atom.

=====

The following is a PBEsol calculation of crystalline LiCa3Pd at its relaxed geometry, from the Alexandria database.

```
data_LiCa3Pd
_chemical_formula_sum 'Li1 Ca3 Pd1'
_space_group_name_H-M_alt 'P 1'
_space_group_IT_number 1
_cell_length_a 5.559
_cell_length_b 5.559
_cell_length_c 5.559
_cell_angle_alpha 90.00
_cell_angle_beta 90.00
_cell_angle_gamma 90.00
loop_
_space_group_symop_operation_xyz
'x,y,z'
loop_
_atom_site_label
_atom_site_type_symbol
_atom_site_fract_x
_atom_site_fract_y
_atom_site_fract_z
_atom_site_occupancy
Ca1 Ca 0.000 0.000 0.500 1
Ca2 Ca 0.000 0.500 0.000 1
Ca3 Ca 0.500 0.000 0.000 1
Pd1 Pd 0.000 0.000 0.000 1
Li1 Li 0.500 0.500 0.500 1
```

The energy is -3.096 eV/atom.

=====

The following is a PBEsol calculation of crystalline LiCaPd3 at its relaxed geometry, from the Alexandria database.

```
data_LiCaPd3
_chemical_formula_sum 'Li1 Ca1 Pd3'
_space_group_name_H-M_alt 'P 1'
_space_group_IT_number 1
_cell_length_a 4.899
_cell_length_b 4.899
_cell_length_c 4.899
_cell_angle_alpha 90.00
_cell_angle_beta 90.00
_cell_angle_gamma 90.00
loop_
_space_group_symop_operation_xyz
'x,y,z'
loop_
_atom_site_label
_atom_site_type_symbol
_atom_site_fract_x
_atom_site_fract_y
_atom_site_fract_z
_atom_site_occupancy
Ca1 Ca 0.000 0.000 0.000 1
Pd1 Pd 0.000 0.500 0.000 1
Pd2 Pd 0.000 0.000 0.500 1
Pd3 Pd 0.500 0.000 0.000 1
Li1 Li 0.500 0.500 0.500 1
```

The energy is -3.745 eV/atom.

=====

The following is a PBEsol calculation of crystalline LiCaPt at its relaxed geometry, from the Alexandria database.

```
data_LiCaPt
_chemical_formula_sum 'Li1 Ca1 Pt1'
_space_group_name_H-M_alt 'P 1'
_space_group_IT_number 1
_cell_length_a 4.352
_cell_length_b 4.352
_cell_length_c 4.352
_cell_angle_alpha 60.00
_cell_angle_beta 60.00
_cell_angle_gamma 60.00
loop_
_space_group_symop_operation_xyz
'x,y,z'
loop_
_atom_site_label
_atom_site_type_symbol
_atom_site_fract_x
_atom_site_fract_y
_atom_site_fract_z
_atom_site_occupancy
Li1 Li 0.750 0.750 0.750 1
Ca1 Ca 0.500 0.500 0.500 1
Pt1 Pt 0.000 0.000 0.000 1
```

The energy is -4.013 eV/atom.